# Be12V

Crystalline Be12V at its relaxed geometry (PBEsol, Alexandria via LeMat-Bulk).

Properties
Space group: I4/mmm

abc: 5.4801 5.4801 5.4801
angles: 98.17 98.17 135.71
Atoms (fractional coordinates):
Be 0.0000 0.0000 0.5000
Be 0.0000 0.2111 0.2111
Be 0.0000 0.5000 0.0000
Be 0.0000 0.7889 0.7889
Be 0.1512 0.5000 0.6512
Be 0.2111 0.0000 0.2111
Be 0.5000 0.0000 0.0000
Be 0.5000 0.1512 0.6512
Be 0.5000 0.5000 0.5000
Be 0.5000 0.8488 0.3488
Be 0.7889 0.0000 0.7889
Be 0.8488 0.5000 0.3488
V 0.5000 0.5000 0.0000

# Be2V

Crystalline Be2V at its relaxed geometry (PBEsol, Alexandria via LeMat-Bulk).

Properties
Space group: P6_3/mmc

abc: 4.3285 4.3285 6.9846
angles: 90.00 90.00 120.00
Atoms (fractional coordinates):
Be 0.0000 0.0000 0.0000
Be 0.0000 0.0000 0.5000
Be 0.1714 0.3428 0.2500
Be 0.1714 0.8286 0.2500
Be 0.3428 0.1714 0.7500
Be 0.6572 0.8286 0.2500
Be 0.8286 0.1714 0.7500
Be 0.8286 0.6572 0.7500
V 0.3333 0.6667 0.5674
V 0.3333 0.6667 0.9326
V 0.6667 0.3333 0.0674
V 0.6667 0.3333 0.4326

# BeW2

Crystalline BeW2 at its relaxed geometry (PBEsol, Alexandria via LeMat-Bulk).

Properties
Energy relative to the lowest polymorph listed for this composition, eV per formula unit: 0.00
Space group: P-3m1

abc: 4.2984 4.2984 2.6378
angles: 90.00 90.00 120.00
Atoms (fractional coordinates):
Be 0.0000 0.0000 0.0000
W 0.3333 0.6667 0.6637
W 0.6667 0.3333 0.3363

# BeW3

Crystalline BeW3 at its relaxed geometry (PBEsol, Alexandria via LeMat-Bulk).

Properties
Energy relative to the lowest polymorph listed for this composition, eV per formula unit: 0.65
Space group: Pm-3m

abc: 3.8500 3.8500 3.8500
angles: 90.00 90.00 90.00
Atoms (fractional coordinates):
Be 0.0000 0.0000 0.0000
W 0.0000 0.5000 0.5000
W 0.5000 0.0000 0.5000
W 0.5000 0.5000 0.0000

# BeW3

Crystalline BeW3 at its relaxed geometry (PBEsol, Alexandria via LeMat-Bulk).

Properties
Energy relative to the lowest polymorph listed for this composition, eV per formula unit: 0.00
Space group: Cmmm

abc: 3.2360 4.3338 7.9814
angles: 90.00 90.00 90.00
Atoms (fractional coordinates):
Be 0.0000 0.0000 0.0000
Be 0.5000 0.5000 0.0000
W 0.0000 0.0000 0.5000
W 0.0000 0.5000 0.2222
W 0.0000 0.5000 0.7778
W 0.5000 0.0000 0.2222
W 0.5000 0.0000 0.7778
W 0.5000 0.5000 0.5000

# BeW3

Crystalline BeW3 at its relaxed geometry (PBEsol, Alexandria via LeMat-Bulk).

Properties
Energy relative to the lowest polymorph listed for this composition, eV per formula unit: 0.54
Space group: C2/m

abc: 9.4834 3.1661 4.2888
angles: 90.00 116.69 90.00
Atoms (fractional coordinates):
Be 0.0000 0.0000 0.0000
Be 0.5000 0.5000 0.0000
W 0.0000 0.5000 0.5000
W 0.2477 0.0000 0.7479
W 0.2523 0.5000 0.2521
W 0.5000 0.0000 0.5000
W 0.7477 0.5000 0.7479
W 0.7523 0.0000 0.2521

# Be2W

Crystalline Be2W at its relaxed geometry (PBEsol, Alexandria via LeMat-Bulk).

Properties
Space group: P6_3/mmc

abc: 4.4241 4.4241 7.2862
angles: 90.00 90.00 120.00
Atoms (fractional coordinates):
Be 0.0000 0.0000 0.0000
Be 0.0000 0.0000 0.5000
Be 0.1701 0.3403 0.2500
Be 0.1701 0.8299 0.2500
Be 0.3403 0.1701 0.7500
Be 0.6597 0.8299 0.2500
Be 0.8299 0.1701 0.7500
Be 0.8299 0.6597 0.7500
W 0.3333 0.6667 0.5628
W 0.3333 0.6667 0.9372
W 0.6667 0.3333 0.0628
W 0.6667 0.3333 0.4372

# Be3W

Crystalline Be3W at its relaxed geometry (PBEsol, Alexandria via LeMat-Bulk).

Properties
Energy relative to the lowest polymorph listed for this composition, eV per formula unit: 0.37
Space group: Pm-3n

abc: 4.3638 4.3638 4.3638
angles: 90.00 90.00 90.00
Atoms (fractional coordinates):
Be 0.0000 0.2500 0.5000
Be 0.0000 0.7500 0.5000
Be 0.2500 0.5000 0.0000
Be 0.5000 0.0000 0.2500
Be 0.5000 0.0000 0.7500
Be 0.7500 0.5000 0.0000
W 0.0000 0.0000 0.0000
W 0.5000 0.5000 0.5000

# BeW2

Crystalline BeW2 at its relaxed geometry (PBEsol, Alexandria via LeMat-Bulk).

Properties
Energy relative to the lowest polymorph listed for this composition, eV per formula unit: 0.05
Space group: P6_3/mmc

abc: 4.2574 4.2574 5.1147
angles: 90.00 90.00 120.00
Atoms (fractional coordinates):
Be 0.3333 0.6667 0.2500
Be 0.6667 0.3333 0.7500
W 0.0000 0.0000 0.0000
W 0.0000 0.0000 0.5000
W 0.3333 0.6667 0.7500
W 0.6667 0.3333 0.2500

# BeW3

Crystalline BeW3 at its relaxed geometry (PBEsol, Alexandria via LeMat-Bulk).

Properties
Energy relative to the lowest polymorph listed for this composition, eV per formula unit: 0.45
Space group: P2/m

abc: 2.6643 4.3431 5.0833
angles: 90.00 99.69 90.00
Atoms (fractional coordinates):
Be 0.0000 0.0000 0.0000
W 0.2385 0.5000 0.7544
W 0.5000 0.0000 0.5000
W 0.7615 0.5000 0.2456

# BeW3

Crystalline BeW3 at its relaxed geometry (PBEsol, Alexandria via LeMat-Bulk).

Properties
Energy relative to the lowest polymorph listed for this composition, eV per formula unit: 1.06
Space group: Pmmm

abc: 2.6353 4.0380 5.4840
angles: 90.00 90.00 90.00
Atoms (fractional coordinates):
Be 0.0000 0.0000 0.0000
W 0.0000 0.0000 0.5000
W 0.5000 0.5000 0.2338
W 0.5000 0.5000 0.7662

# Be3W

Crystalline Be3W at its relaxed geometry (PBEsol, Alexandria via LeMat-Bulk).

Properties
Energy relative to the lowest polymorph listed for this composition, eV per formula unit: 0.00
Space group: Fm-3m

abc: 5.4578 5.4578 5.4578
angles: 90.00 90.00 90.00
Atoms (fractional coordinates):
Be 0.0000 0.0000 0.0000
Be 0.0000 0.5000 0.5000
Be 0.2500 0.2500 0.2500
Be 0.2500 0.2500 0.7500
Be 0.2500 0.7500 0.2500
Be 0.2500 0.7500 0.7500
Be 0.5000 0.0000 0.5000
Be 0.5000 0.5000 0.0000
Be 0.7500 0.2500 0.2500
Be 0.7500 0.2500 0.7500
Be 0.7500 0.7500 0.2500
Be 0.7500 0.7500 0.7500
W 0.0000 0.0000 0.5000
W 0.0000 0.5000 0.0000
W 0.5000 0.0000 0.0000
W 0.5000 0.5000 0.5000

DFT total energy, respectively: -4.53, -6.09, -10.31, -11.06, -11.22, -11.09, -7.56, -5.97, -10.29, -11.11, -10.96, -6.06 eV/atom.